1.
# AcLaPu

AcLaPu after structural relaxation (PBE, the Alexandria database).

Cell lengths 3.7343, 3.7343, 8.2375 Å; angles 103.10, 103.10, 90.00 degrees
Sites, in units of the cell vectors:
Ac  0.3382  0.3382  0.6764
Pu  0.0036  0.0036  0.0072
La  0.6582  0.6582  0.3164

Computed properties:
- electronic total energy (eV/cell) = -22.9
- symmetry = I4mm

2.
# MgCl3F

MgCl3F after structural relaxation (PBE, the Alexandria database).

Cell lengths 4.9105, 4.9105, 4.9105 Å; angles 90.00, 90.00, 90.00 degrees
Sites, in units of the cell vectors:
Mg  0.0000  0.0000  0.0000
F  0.5000  0.5000  0.5000
Cl  0.0000  0.5000  0.0000
Cl  0.0000  0.0000  0.5000
Cl  0.5000  0.0000  0.0000

Computed properties:
- formation energy (no corrections) (meV per atom) = -705
- symmetry = Pm-3m

3.
# Mg3TaHg

Mg3TaHg after structural relaxation (PBE, the Alexandria database).

Cell lengths 5.0485, 5.0485, 5.0485 Å; angles 90.00, 90.00, 90.00 degrees
Sites, in units of the cell vectors:
Mg  0.0000  0.5000  0.0000
Mg  0.0000  0.0000  0.5000
Mg  0.5000  0.0000  0.0000
Hg  0.0000  0.0000  0.0000
Ta  0.5000  0.5000  0.5000

Computed properties:
- electronic total energy (eV/cell) = -11.9
- symmetry = Pm-3m